Sr2NCl: optimized geometry, GGA-PBEsol.

raw formation energy	-4.0	eV/f.u.
M_tot	0.00	μB/f.u.
space group	Fm-3m, No. 225

a b c (Å): 6.7845 6.7845 6.7845
angles (deg): 90.00 90.00 90.00
Fractional positions:
Sr 0.2500 0.2500 0.2500
Sr 0.2500 0.2500 0.7500
Sr 0.2500 0.7500 0.2500
Sr 0.2500 0.7500 0.7500
Sr 0.7500 0.2500 0.2500
Sr 0.7500 0.2500 0.7500
Sr 0.7500 0.7500 0.2500
Sr 0.7500 0.7500 0.7500
N 0.0000 0.0000 0.0000
N 0.0000 0.5000 0.5000
N 0.5000 0.0000 0.5000
N 0.5000 0.5000 0.0000
Cl 0.0000 0.0000 0.5000
Cl 0.0000 0.5000 0.0000
Cl 0.5000 0.0000 0.0000
Cl 0.5000 0.5000 0.5000